1.
Compound: Hg2MoAu
Source: Alexandria via LeMat-Bulk
Functional: GGA-PBEsol
Structure: optimized geometry

Geometry as CIF:
```
data_Hg2MoAu
_cell_length_a 2.9378
_cell_length_b 2.9378
_cell_length_c 29.3325
_cell_angle_alpha 90.00
_cell_angle_beta 90.00
_cell_angle_gamma 120.00
_symmetry_space_group_name_H-M 'R 3 m'
_symmetry_Int_Tables_number 160
_symmetry_space_group_name_Hall 'R 3 -2"'
loop_
_atom_site_label
_atom_site_fract_x
_atom_site_fract_y
_atom_site_fract_z
Hg1 0.0000 0.0000 0.0000
Hg2 0.0000 0.0000 0.2413
Mo1 0.0000 0.0000 0.7482
Au1 0.0000 0.0000 0.4895
```

## Properties
calculated volume = 18.27 Å³ per atom
ΔE to the lowest computed polymorph = 0.0373 eV per atom
energy of formation = 325 meV/atom

---

2.
Compound: NdP5
Source: Alexandria via LeMat-Bulk
Functional: GGA-PBEsol
Structure: optimized geometry

Geometry as CIF:
```
data_NdP5
_cell_length_a 4.9003
_cell_length_b 9.5091
_cell_length_c 5.4163
_cell_angle_alpha 90.00
_cell_angle_beta 103.65
_cell_angle_gamma 90.00
_symmetry_space_group_name_H-M 'P 1 21/m 1'
_symmetry_Int_Tables_number 11
loop_
_symmetry_equiv_pos_as_xyz
'x,y,z'
'-x,-y,-z'
'-x,y+1/2,-z'
'x,-y+1/2,z'
loop_
_atom_site_label
_atom_site_fract_x
_atom_site_fract_y
_atom_site_fract_z
Nd1 0.0223 0.2500 0.3558
P1 0.2782 0.2500 0.9079
P2 0.2878 0.5350 0.3996
P3 0.3817 0.5917 0.0411
```

## Properties
calculated volume = 20.44 Å³ per atom
energy of formation = -539 meV/atom

---

3.
Compound: BaSb2Te
Source: Alexandria via LeMat-Bulk
Functional: GGA-PBEsol
Structure: optimized geometry

Geometry as CIF:
```
data_BaSb2Te
_cell_length_a 11.9350
_cell_length_b 4.8219
_cell_length_c 4.7301
_cell_angle_alpha 90.00
_cell_angle_beta 102.97
_cell_angle_gamma 90.00
_symmetry_space_group_name_H-M 'C 1 2/m 1'
_symmetry_Int_Tables_number 12
loop_
_symmetry_equiv_pos_as_xyz
'x,y,z'
'-x,-y,-z'
'-x,y,-z'
'x,-y,z'
'x+1/2,y+1/2,z'
'-x+1/2,-y+1/2,-z'
'-x+1/2,y+1/2,-z'
'x+1/2,-y+1/2,z'
loop_
_atom_site_label
_atom_site_fract_x
_atom_site_fract_y
_atom_site_fract_z
Ba1 0.0000 0.0000 0.0000
Sb1 0.2364 0.5000 0.3148
Te1 0.0000 0.5000 0.5000
```

## Properties
calculated volume = 33.16 Å³ per atom
ΔE_f (raw) = -0.634 eV/atom

---

4.
Compound: CoAuCl
Source: Alexandria via LeMat-Bulk
Functional: GGA-PBEsol
Structure: optimized geometry

Geometry as CIF:
```
data_CoAuCl
_cell_length_a 3.0308
_cell_length_b 3.0308
_cell_length_c 6.2533
_cell_angle_alpha 90.00
_cell_angle_beta 90.00
_cell_angle_gamma 120.00
_symmetry_space_group_name_H-M 'P 3 m 1'
_symmetry_Int_Tables_number 156
loop_
_symmetry_equiv_pos_as_xyz
'x,y,z'
'-y,x-y,z'
'-x+y,-x,z'
'-y,-x,z'
'-x+y,y,z'
'x,x-y,z'
loop_
_atom_site_label
_atom_site_fract_x
_atom_site_fract_y
_atom_site_fract_z
Co1 0.0000 0.0000 0.0000
Au1 0.3333 0.6667 0.6881
Cl1 0.6667 0.3333 0.2278
```

## Properties
calculated volume = 16.58 Å³ per atom
ΔE_f (raw) = 0.096 eV/atom

---

5.
Compound: Ba2CoGe2O7
Source: Alexandria via LeMat-Bulk
Functional: GGA-PBEsol
Structure: optimized geometry

Geometry as CIF:
```
data_Ba2CoGe2O7
_cell_length_a 8.3489
_cell_length_b 8.3489
_cell_length_c 5.5578
_cell_angle_alpha 90.00
_cell_angle_beta 90.00
_cell_angle_gamma 90.00
_symmetry_space_group_name_H-M 'P -4 21 m'
_symmetry_Int_Tables_number 113
loop_
_symmetry_equiv_pos_as_xyz
'x,y,z'
'y,-x,-z'
'-x,-y,z'
'-y,x,-z'
'x+1/2,-y+1/2,-z'
'y+1/2,x+1/2,z'
'-x+1/2,y+1/2,-z'
'-y+1/2,-x+1/2,z'
loop_
_atom_site_label
_atom_site_fract_x
_atom_site_fract_y
_atom_site_fract_z
Ba1 0.1652 0.3348 0.4923
Co1 0.0000 0.0000 0.0000
Ge1 0.1415 0.6415 0.9640
O1 0.0000 0.5000 0.8390
O2 0.0795 0.8186 0.8141
O3 0.1373 0.6373 0.2753
```

## Properties
calculated volume = 16.14 Å³ per atom
ΔE_f (raw) = -2.009 eV/atom

---

6.
Compound: ZrAlFe2
Source: Alexandria via LeMat-Bulk
Functional: GGA-PBEsol
Structure: optimized geometry

Geometry as CIF:
```
data_ZrAlFe2
_cell_length_a 6.1381
_cell_length_b 6.1381
_cell_length_c 6.1381
_cell_angle_alpha 90.00
_cell_angle_beta 90.00
_cell_angle_gamma 90.00
_symmetry_space_group_name_H-M 'F -4 3 m'
_symmetry_Int_Tables_number 216
_symmetry_space_group_name_Hall 'F -4 2 3'
loop_
_atom_site_label
_atom_site_fract_x
_atom_site_fract_y
_atom_site_fract_z
Zr1 0.0000 0.0000 0.0000
Al1 0.2500 0.2500 0.2500
Fe1 0.0000 0.0000 0.5000
Fe2 0.2500 0.2500 0.7500
```

## Properties
calculated volume = 14.45 Å³ per atom
energy of formation = -54 meV/atom

---

7.
Compound: TiTeP2Cl
Source: Alexandria via LeMat-Bulk
Functional: GGA-PBEsol
Structure: optimized geometry

Geometry as CIF:
```
data_TiTeP2Cl
_cell_length_a 4.8466
_cell_length_b 4.8466
_cell_length_c 4.4592
_cell_angle_alpha 90.00
_cell_angle_beta 90.00
_cell_angle_gamma 90.00
_symmetry_space_group_name_H-M 'P 4/m m m'
_symmetry_Int_Tables_number 123
_symmetry_space_group_name_Hall '-P 4 2'
loop_
_atom_site_label
_atom_site_fract_x
_atom_site_fract_y
_atom_site_fract_z
Ti1 0.0000 0.0000 0.0000
Te1 0.5000 0.5000 0.5000
P1 0.0000 0.5000 0.0000
Cl1 0.0000 0.0000 0.5000
```

## Properties
calculated volume = 20.95 Å³ per atom
ΔE_f (raw) = -0.060 eV/atom
ΔE to the lowest computed polymorph = 0.0000 eV per atom

---

8.
Compound: CdSn2HgCl
Source: Alexandria via LeMat-Bulk
Functional: GGA-PBEsol
Structure: optimized geometry

Geometry as CIF:
```
data_CdSn2HgCl
_cell_length_a 5.4596
_cell_length_b 5.4596
_cell_length_c 5.3440
_cell_angle_alpha 90.00
_cell_angle_beta 90.00
_cell_angle_gamma 90.00
_symmetry_space_group_name_H-M 'P 4/m m m'
_symmetry_Int_Tables_number 123
_symmetry_space_group_name_Hall '-P 4 2'
loop_
_atom_site_label
_atom_site_fract_x
_atom_site_fract_y
_atom_site_fract_z
Cd1 0.0000 0.0000 0.0000
Sn1 0.0000 0.5000 0.5000
Hg1 0.5000 0.5000 0.5000
Cl1 0.5000 0.5000 0.0000
```

## Properties
calculated volume = 31.86 Å³ per atom
ΔE_f (raw) = 0.367 eV/atom

---

9.
Compound: Mg2HgBi
Source: Alexandria via LeMat-Bulk
Functional: GGA-PBEsol
Structure: optimized geometry

Geometry as CIF:
```
data_Mg2HgBi
_cell_length_a 7.2588
_cell_length_b 7.2588
_cell_length_c 7.2588
_cell_angle_alpha 90.00
_cell_angle_beta 90.00
_cell_angle_gamma 90.00
_symmetry_space_group_name_H-M 'F m -3 m'
_symmetry_Int_Tables_number 225
_symmetry_space_group_name_Hall '-F 4 2 3'
loop_
_atom_site_label
_atom_site_fract_x
_atom_site_fract_y
_atom_site_fract_z
Mg1 0.2500 0.2500 0.2500
Hg1 0.0000 0.0000 0.0000
Bi1 0.0000 0.0000 0.5000
```

## Properties
calculated volume = 23.90 Å³ per atom
energy of formation = -211 meV/atom

---

10.
Compound: K2MnPt
Source: Alexandria via LeMat-Bulk
Functional: GGA-PBEsol
Structure: optimized geometry

Geometry as CIF:
```
data_K2MnPt
_cell_length_a 7.5419
_cell_length_b 7.5419
_cell_length_c 7.5419
_cell_angle_alpha 90.00
_cell_angle_beta 90.00
_cell_angle_gamma 90.00
_symmetry_space_group_name_H-M 'F m -3 m'
_symmetry_Int_Tables_number 225
_symmetry_space_group_name_Hall '-F 4 2 3'
loop_
_atom_site_label
_atom_site_fract_x
_atom_site_fract_y
_atom_site_fract_z
K1 0.2500 0.2500 0.2500
Mn1 0.0000 0.0000 0.0000
Pt1 0.0000 0.0000 0.5000
```

## Properties
calculated volume = 26.81 Å³ per atom
energy of formation = 925 meV/atom

---

Please write out number 7 again, unchanged.
Compound: TiTeP2Cl
Source: Alexandria via LeMat-Bulk
Functional: GGA-PBEsol
Structure: optimized geometry

Geometry as CIF:
```
data_TiTeP2Cl
_cell_length_a 4.8466
_cell_length_b 4.8466
_cell_length_c 4.4592
_cell_angle_alpha 90.00
_cell_angle_beta 90.00
_cell_angle_gamma 90.00
_symmetry_space_group_name_H-M 'P 4/m m m'
_symmetry_Int_Tables_number 123
_symmetry_space_group_name_Hall '-P 4 2'
loop_
_atom_site_label
_atom_site_fract_x
_atom_site_fract_y
_atom_site_fract_z
Ti1 0.0000 0.0000 0.0000
Te1 0.5000 0.5000 0.5000
P1 0.0000 0.5000 0.0000
Cl1 0.0000 0.0000 0.5000
```

## Properties
calculated volume = 20.95 Å³ per atom
ΔE_f (raw) = -0.060 eV/atom
ΔE to the lowest computed polymorph = 0.0000 eV per atom